DFT (GGA-PBE) results for an optimized crystal structure of HoScAlTl.

## Properties
Space group: P4mm (99)
Energy of formation from the pure elements in eV per atom: -0.334
Fermi-level density of states in states/eV per cell: 2.48
Energy relative to the lowest polymorph listed for this composition in meV per atom: 0.0

abc: 3.287 3.287 8.594
angles: 90.00 90.00 90.00
Sites, in units of the cell vectors:
Ho 0.000 0.000 0.000
Sc 0.000 0.000 0.540
Al 0.500 0.500 0.758
Tl 0.500 0.500 0.280